This record from Alexandria describes a relaxed structure of CuWAu2. The functional is PBE.

The structure in POSCAR format:
```
CuWAu2
1.0
2.745 0.000 0.000
0.000 4.880 0.000
0.000 0.000 9.785
Cu W Au
2 2 4
Direct
0.000 0.000 0.000 Cu
0.500 0.500 0.500 Cu
0.000 0.500 0.729 W
0.500 0.000 0.229 W
0.000 0.000 0.487 Au
0.000 0.500 0.261 Au
0.500 0.000 0.761 Au
0.500 0.500 0.987 Au
```

## Properties
Its formation energy is 0.405 eV/atom. The crystal system is orthorhombic. For the offset from the most stable computed form, the calculation gives 196 meV/atom. The total magnetization comes out at 0.00 μB per cell.


This record from Alexandria describes a relaxed structure of CuWAu2. The functional is PBE.

The structure in POSCAR format:
```
CuWAu2
1.0
2.755 0.000 0.000
0.000 4.040 0.000
-0.011 0.000 5.785
Cu W Au
1 1 2
Direct
0.000 0.000 0.000 Cu
0.000 0.000 0.500 W
0.499 0.500 0.249 Au
0.501 0.500 0.751 Au
```

## Properties
Its formation energy is 0.356 eV/atom. The crystal system is monoclinic. For the offset from the most stable computed form, the calculation gives 147 meV/atom. The total magnetization comes out at 0.00 μB per cell.


This record from Alexandria describes a relaxed structure of CuWAu2. The functional is PBE.

The structure in POSCAR format:
```
CuWAu2
1.0
4.119 0.000 0.000
0.000 4.119 0.000
0.000 0.000 7.552
Cu W Au
2 2 4
Direct
0.000 0.000 0.000 Cu
0.500 0.500 0.500 Cu
0.000 0.500 0.750 W
0.500 0.000 0.250 W
0.000 0.000 0.500 Au
0.000 0.500 0.250 Au
0.500 0.000 0.750 Au
0.500 0.500 0.000 Au
```

## Properties
Its formation energy is 0.509 eV/atom. The crystal system is tetragonal. For the offset from the most stable computed form, the calculation gives 300 meV/atom. The total magnetization comes out at 1.16 μB per cell.


This record from Alexandria describes a relaxed structure of CuWAu2. The functional is PBE.

The structure in POSCAR format:
```
CuWAu2
1.0
2.818 0.000 0.000
0.000 2.818 0.000
0.000 0.000 8.052
Cu W Au
1 1 2
Direct
0.000 0.000 0.000 Cu
0.500 0.500 0.223 W
0.000 0.000 0.482 Au
0.500 0.500 0.766 Au
```

## Properties
Its formation energy is 0.209 eV/atom. The crystal system is tetragonal. For the offset from the most stable computed form, the calculation gives 0 meV/atom. The total magnetization comes out at 0.00 μB per cell.


This record from Alexandria describes a relaxed structure of CuWAu2. The functional is PBE.

The structure in POSCAR format:
```
CuWAu2
1.0
4.989 0.000 0.000
0.000 2.716 0.000
-1.545 0.000 4.809
Cu W Au
1 1 2
Direct
0.000 0.000 0.000 Cu
0.000 0.500 0.500 W
0.500 0.000 0.500 Au
0.500 0.500 0.000 Au
```

## Properties
Its formation energy is 0.456 eV/atom. The crystal system is monoclinic. For the offset from the most stable computed form, the calculation gives 247 meV/atom. The total magnetization comes out at 0.00 μB per cell.


This record from Alexandria describes a relaxed structure of CuWAu2. The functional is PBE.

The structure in POSCAR format:
```
CuWAu2
1.0
6.222 0.000 0.000
0.000 7.698 0.000
0.000 0.000 2.730
Cu W Au
2 2 4
Direct
0.000 0.000 0.000 Cu
0.500 0.500 0.000 Cu
0.000 0.500 0.000 W
0.500 0.000 0.000 W
0.250 0.250 0.500 Au
0.250 0.750 0.500 Au
0.750 0.250 0.500 Au
0.750 0.750 0.500 Au
```

## Properties
Its formation energy is 0.360 eV/atom. The crystal system is orthorhombic. For the offset from the most stable computed form, the calculation gives 151 meV/atom. The total magnetization comes out at 0.00 μB per cell.


This record from Alexandria describes a relaxed structure of CuWAu2. The functional is PBE.

The structure in POSCAR format:
```
CuWAu2
1.0
9.273 0.000 0.000
0.000 2.770 0.000
-0.743 0.000 5.031
Cu W Au
2 2 4
Direct
0.000 0.000 0.000 Cu
0.500 0.500 0.000 Cu
0.000 0.500 0.500 W
0.500 0.000 0.500 W
0.250 0.000 0.751 Au
0.250 0.500 0.249 Au
0.750 0.000 0.249 Au
0.750 0.500 0.751 Au
```

## Properties
Its formation energy is 0.411 eV/atom. The crystal system is monoclinic. For the offset from the most stable computed form, the calculation gives 202 meV/atom. The total magnetization comes out at 0.00 μB per cell.


This record from Alexandria describes a relaxed structure of CuWAu2. The functional is PBE.

The structure in POSCAR format:
```
CuWAu2
1.0
2.811 0.000 0.000
0.000 2.811 0.000
0.000 0.000 8.058
Cu W Au
1 1 2
Direct
0.000 0.000 0.000 Cu
0.000 0.000 0.500 W
0.500 0.500 0.240 Au
0.500 0.500 0.760 Au
```

## Properties
Its formation energy is 0.234 eV/atom. The crystal system is tetragonal. For the offset from the most stable computed form, the calculation gives 25 meV/atom. The total magnetization comes out at 0.00 μB per cell.


This record from Alexandria describes a relaxed structure of CuWAu2. The functional is PBE.

The structure in POSCAR format:
```
CuWAu2
1.0
6.375 0.000 0.000
0.000 6.375 0.000
0.000 0.000 6.375
Cu W Au
4 4 8
Direct
0.000 0.000 0.000 Cu
0.000 0.500 0.500 Cu
0.500 0.000 0.500 Cu
0.500 0.500 0.000 Cu
0.000 0.000 0.500 W
0.000 0.500 0.000 W
0.500 0.000 0.000 W
0.500 0.500 0.500 W
0.250 0.250 0.250 Au
0.250 0.250 0.750 Au
0.250 0.750 0.250 Au
0.250 0.750 0.750 Au
0.750 0.250 0.250 Au
0.750 0.250 0.750 Au
0.750 0.750 0.250 Au
0.750 0.750 0.750 Au
```

## Properties
Its formation energy is 0.496 eV/atom. The crystal system is cubic. For the offset from the most stable computed form, the calculation gives 288 meV/atom. The total magnetization comes out at 0.00 μB per cell.


This record from Alexandria describes a relaxed structure of CuWAu2. The functional is PBE.

The structure in POSCAR format:
```
CuWAu2
1.0
2.822 0.000 0.000
0.000 4.837 0.000
0.000 0.000 9.442
Cu W Au
2 2 4
Direct
0.000 0.000 0.000 Cu
0.500 0.500 0.500 Cu
0.000 0.000 0.500 W
0.500 0.500 0.000 W
0.000 0.500 0.263 Au
0.000 0.500 0.737 Au
0.500 0.000 0.237 Au
0.500 0.000 0.763 Au
```

## Properties
Its formation energy is 0.490 eV/atom. The crystal system is orthorhombic. For the offset from the most stable computed form, the calculation gives 281 meV/atom. The total magnetization comes out at 0.00 μB per cell.


This record from Alexandria describes a relaxed structure of CuWAu2. The functional is PBE.

The structure in POSCAR format:
```
CuWAu2
1.0
2.757 0.000 0.000
0.000 3.919 0.000
0.000 0.000 5.994
Cu W Au
1 1 2
Direct
0.000 0.000 0.000 Cu
0.500 0.500 0.221 W
0.000 0.000 0.465 Au
0.500 0.500 0.758 Au
```

## Properties
Its formation energy is 0.340 eV/atom. The crystal system is orthorhombic. For the offset from the most stable computed form, the calculation gives 132 meV/atom. The total magnetization comes out at 0.00 μB per cell.


This record from Alexandria describes a relaxed structure of CuWAu. The functional is PBE.

The structure in POSCAR format:
```
CuWAu
1.0
6.050 0.000 0.000
0.000 6.050 0.000
0.000 0.000 6.050
Cu W Au
4 4 4
Direct
0.000 0.000 0.000 Cu
0.000 0.500 0.500 Cu
0.500 0.000 0.500 Cu
0.500 0.500 0.000 Cu
0.250 0.250 0.250 W
0.250 0.750 0.750 W
0.750 0.250 0.750 W
0.750 0.750 0.250 W
0.000 0.000 0.500 Au
0.000 0.500 0.000 Au
0.500 0.000 0.000 Au
0.500 0.500 0.500 Au
```

## Properties
Its formation energy is 1.014 eV/atom. The crystal system is cubic. For the offset from the most stable computed form, the calculation gives 704 meV/atom. The total magnetization comes out at 0.00 μB per cell.